A relaxed LaGdHoZn crystal. Source: Alexandria via LeMat-Bulk, functional PBE.

Properties
Density of states at the Fermi level (states/eV per atom): 1.312
Energy of formation from the pure elements (kJ/mol of atoms): 1.7

Lattice parameters (Å, degrees): 7.696 7.696 7.696 90.00 90.00 90.00
Space group F-43m (No. 216)
Unique sites:
La  0.000  0.000  0.000 x4
Gd  0.000  0.000  0.500 x4
Ho  0.250  0.250  0.750 x4
Zn  0.250  0.250  0.250 x4

A relaxed LiGd2Ho crystal. Source: Alexandria via LeMat-Bulk, functional PBE.

Properties
Density of states at the Fermi level (states/eV per atom): 1.108
Energy of formation from the pure elements (kJ/mol of atoms): 16.3
Offset from the most stable computed form (meV/atom): 99

Lattice parameters (Å, degrees): 7.775 7.775 7.775 90.00 90.00 90.00
Space group Fm-3m (No. 225)
Unique sites:
Li  0.000  0.000  0.000 x4
Gd  0.250  0.250  0.250 x8
Ho  0.000  0.000  0.500 x4

A relaxed LiGdHo2 crystal. Source: Alexandria via LeMat-Bulk, functional PBE.

Properties
Density of states at the Fermi level (states/eV per atom): 1.389
Energy of formation from the pure elements (kJ/mol of atoms): 15.8
Offset from the most stable computed form (meV/atom): 79

Lattice parameters (Å, degrees): 5.575 5.575 3.718 90.00 90.00 90.00
Space group P4/mmm (No. 123)
Unique sites:
Li  0.000  0.000  0.000 x1
Gd  0.500  0.500  0.000 x1
Ho  0.000  0.500  0.500 x2

Question: The highest density of states at the Fermi level belongs to which entry?
Answer: LiGdHo2

Question: Which of these has the lowest energy of formation from the pure elements?
Answer: LaGdHoZn